Ac3B2O7 | Alexandria | PBE | relaxed; DOS(E_F) = 0.59 states/eV per cell; space group = P1; crystal system = triclinic; formation energy (no corrections) = -2937 meV/atom; total moment = 0.000 μB per cell
1.0
4.3538 0.0000 0.0000
-0.0611 5.0273 0.0000
-1.4728 -2.3114 9.8182
Ac B O
3 2 7
Cartesian
0.0000 0.0000 0.0000 Ac
0.1088 2.5633 3.0525 Ac
0.9209 -0.0921 6.7847 Ac
-0.9189 2.4677 6.3749 B
0.2240 0.2261 9.6406 B
0.0524 -0.0135 2.4120 O
0.5472 2.5463 0.6123 O
0.1797 2.7708 5.5482 O
0.6643 1.3759 9.0268 O
0.7574 -0.9787 9.2445 O
3.0357 1.1543 6.4719 O
2.9786 -1.5602 7.1811 O